Record 1
{"formula": "Sb2W", "functional": "SCAN", "state": "single point on PBEsol structure", "cell": [[2.8880, 0.0000, 0.0000], [0.0000, 5.0673, 0.0000], [0.0000, -2.5336, 4.3884]], "species": ["Sb", "Sb", "W"], "frac_coords": [[0.0000, 0.6667, 0.3333], [0.0000, 0.3333, 0.6667], [0.5000, 0.0000, 0.0000]], "formation_energy_uncorrected_mev_per_atom": 1346, "relative_energy_kj_per_mol_fu": 249.1, "total_magnetization_mub_per_cell": 0.000, "dos_at_fermi_per_ev_cell": 2.717, "sg": "P6/mmm (191)"}


Record 2
{"formula": "TlGaGe3", "functional": "SCAN", "state": "single point on PBEsol structure", "cell": [[5.2839, 0.0000, 0.0000], [0.0000, 5.2839, 0.0000], [0.0000, 0.0000, 5.2839]], "species": ["Ge", "Ge", "Ge", "Ga", "Tl"], "frac_coords": [[0.0000, 0.5000, 0.0000], [0.0000, 0.0000, 0.5000], [0.5000, 0.0000, 0.0000], [0.5000, 0.5000, 0.5000], [0.0000, 0.0000, 0.0000]], "ef_kj_per_mol_atoms": 111.1, "total_magnetization_mub_per_cell": 0.000, "dos_at_fermi_per_ev_cell": 3.101, "sg": "Pm-3m (221)"}


Record 3
{"formula": "Mo2IrRh", "functional": "SCAN", "state": "single point on PBEsol structure", "cell": [[2.7310, 0.0000, 0.0000], [0.0000, 4.4013, 0.0000], [0.0000, 0.0000, 4.7754]], "species": ["Rh", "Mo", "Mo", "Ir"], "frac_coords": [[0.5000, 0.0000, 0.5503], [0.0000, 0.0000, 0.0455], [0.0000, 0.5000, 0.7027], [0.5000, 0.5000, 0.2015]], "ef_kj_per_mol_atoms": -30.1, "relative_energy_kj_per_mol_fu": 0.0, "total_magnetization_mub_per_cell": 0.000, "dos_at_fermi_per_ev_cell": 2.541, "sg": "Pmm2 (25)"}


Record 4
{"formula": "MgTlIn2", "functional": "SCAN", "state": "single point on PBEsol structure", "cell": [[-2.7926, 1.8617, -0.0068], [-2.4621, -3.6914, 0.5348], [0.4284, 0.6666, 6.5737]], "species": ["Tl", "In", "In", "Mg"], "frac_coords": [[0.5000, 0.5000, 0.7423], [0.5000, 0.5000, 0.2543], [0.0000, 0.0000, 0.0070], [0.0000, 0.0000, 0.4963]], "ef_kj_per_mol_atoms": -2.0, "total_magnetization_mub_per_cell": 0.000, "dos_at_fermi_per_ev_cell": 1.544, "sg": "Pmm2 (25)"}


Record 5
{"formula": "TiSnIN2", "functional": "SCAN", "state": "single point on PBEsol structure", "cell": [[-3.1914, 2.2789, 1.2055], [0.9068, -0.8035, 3.9196], [3.1792, 4.3676, 0.1599]], "species": ["N", "N", "Ti", "Sn", "I"], "frac_coords": [[0.5000, 0.0000, 0.0000], [0.0000, 0.5000, 0.0000], [0.0000, 0.0000, 0.0000], [0.5000, 0.5000, 0.5000], [0.0000, 0.0000, 0.5000]], "formation_energy_uncorrected_mev_per_atom": 440, "relative_energy_kj_per_mol_fu": 0.0, "total_magnetization_mub_per_cell": 0.969, "dos_at_fermi_per_ev_cell": 1.117, "sg": "P4/mmm (123)"}


Record 6
{"formula": "LaNbPb3", "functional": "SCAN", "state": "single point on PBEsol structure", "cell": [[-0.2990, 3.7979, 3.8170], [-5.0957, 1.0355, -1.4295], [-1.7397, -3.6859, 3.5312]], "species": ["Nb", "Pb", "Pb", "Pb", "La"], "frac_coords": [[0.0000, 0.0000, 0.0000], [0.0000, 0.0000, 0.5000], [0.5000, 0.0000, 0.0000], [0.0000, 0.5000, 0.0000], [0.5000, 0.5000, 0.5000]], "ef_kj_per_mol_atoms": 0.1, "total_magnetization_mub_per_cell": 0.000, "dos_at_fermi_per_ev_cell": 4.153, "sg": "Pm-3m (221)"}